# 1
Material: Sr2CdBPb
Method: DFT, SCAN
State: PBEsol geometry

```
Sr2CdBPb
1.0
5.688 0.000 0.000
0.000 5.688 0.000
0.000 0.000 4.309
Sr Cd B Pb
2 1 1 1
direct
0.000 0.500 0.000 Sr
0.500 0.000 0.000 Sr
0.000 0.000 0.500 Cd
0.000 0.000 0.000 B
0.500 0.500 0.500 Pb
```

E_tot = -158.5 eV per cell
Total magnetization = 0.0 μB per formula unit
Density = 6023 kg/m3
Space-group type = No. 123

=====

# 2
Material: CdBPt2
Method: DFT, SCAN
State: PBEsol geometry

```
CdBPt2
1.0
0.000 3.047 3.047
3.047 0.000 3.047
3.047 3.047 0.000
Cd B Pt
1 1 2
direct
0.000 0.000 0.000 Cd
0.500 0.500 0.500 B
0.250 0.250 0.250 Pt
0.750 0.750 0.750 Pt
```

E_tot = -175.9 eV per cell
Total magnetization = 0.0 μB per formula unit
Density = 15062 kg/m3
Space-group type = No. 225

=====

# 3
Material: CdBPt2
Method: DFT, SCAN
State: PBEsol geometry

```
CdBPt2
1.0
-3.305 3.305 2.714
3.305 -3.305 2.714
3.305 3.305 -2.714
Cd B Pt
2 2 4
direct
0.000 0.000 0.000 Cd
0.750 0.250 0.500 Cd
0.250 0.750 0.500 B
0.500 0.500 0.000 B
0.222 0.625 0.097 Pt
0.375 0.472 0.597 Pt
0.528 0.125 0.903 Pt
0.875 0.778 0.403 Pt
```

E_tot = -358.9 eV per cell
Total magnetization = 0.0 μB per formula unit
Density = 14383 kg/m3
Space-group type = No. 122

=====

# 4
Material: RbCd2BTe
Method: DFT, SCAN
State: PBEsol geometry

```
RbCd2BTe
1.0
6.007 0.000 0.000
0.000 6.007 0.000
0.000 0.000 4.513
Rb Cd B Te
1 2 1 1
direct
0.000 0.000 0.000 Rb
0.000 0.500 0.500 Cd
0.500 0.000 0.500 Cd
0.500 0.500 0.000 B
0.500 0.500 0.500 Te
```

Total magnetization = 0.0 μB per formula unit
Density = 4576 kg/m3
Uncorrected formation energy = 4.186 eV per formula unit
Space-group type = No. 123

=====

# 5
Material: CdRe2B
Method: DFT, SCAN
State: PBEsol geometry

```
CdRe2B
1.0
0.000 2.999 2.999
2.999 0.000 2.999
2.999 2.999 0.000
Cd Re B
1 2 1
direct
0.000 0.000 0.000 Cd
0.250 0.250 0.250 Re
0.750 0.750 0.750 Re
0.500 0.500 0.500 B
```

E_tot = -174.6 eV per cell
Total magnetization = 0.0 μB per formula unit
Density = 15258 kg/m3
Space-group type = No. 225

=====

# 6
Material: Cd2BRh2
Method: DFT, SCAN
State: PBEsol geometry

```
Cd2BRh2
1.0
5.694 0.000 0.000
0.000 5.694 0.000
0.000 0.000 4.538
Cd B Rh
4 2 4
direct
0.166 0.334 0.000 Cd
0.334 0.834 0.000 Cd
0.666 0.166 0.000 Cd
0.834 0.666 0.000 Cd
0.000 0.000 0.500 B
0.500 0.500 0.500 B
0.163 0.663 0.500 Rh
0.337 0.163 0.500 Rh
0.663 0.837 0.500 Rh
0.837 0.337 0.500 Rh
```

E_tot = -273.9 eV per cell
Total magnetization = 0.0 μB per formula unit
Density = 9966 kg/m3
Space-group type = No. 127

=====

# 7
Material: SrCdB2Rh
Method: DFT, SCAN
State: PBEsol geometry

```
SrCdB2Rh
1.0
4.277 0.000 0.000
0.000 4.277 0.000
0.000 0.000 5.114
Sr Cd B Rh
1 1 2 1
direct
0.000 0.000 0.000 Sr
0.500 0.500 0.500 Cd
0.000 0.500 0.500 B
0.500 0.000 0.500 B
0.500 0.500 0.000 Rh
```

E_tot = -95.0 eV per cell
Total magnetization = 0.0 μB per formula unit
Density = 5761 kg/m3
Space-group type = No. 123

=====

# 8
Material: Cd3BS
Method: DFT, SCAN
State: PBEsol geometry

```
Cd3BS
1.0
4.988 0.000 0.000
0.000 4.988 0.000
0.000 0.000 4.988
Cd B S
3 1 1
direct
0.000 0.000 0.500 Cd
0.000 0.500 0.000 Cd
0.500 0.000 0.000 Cd
0.500 0.500 0.500 B
0.000 0.000 0.000 S
```

Total magnetization = 0.0 μB per formula unit
Density = 5085 kg/m3
Uncorrected formation energy = 6.301 eV per formula unit
Space-group type = No. 221

=====

# 9
Material: CdSn3B
Method: DFT, SCAN
State: PBEsol geometry

```
CdSn3B
1.0
5.380 0.000 0.000
0.000 5.380 0.000
0.000 0.000 5.380
Cd Sn B
1 3 1
direct
0.000 0.000 0.000 Cd
0.000 0.000 0.500 Sn
0.000 0.500 0.000 Sn
0.500 0.000 0.000 Sn
0.500 0.500 0.500 B
```

E_tot = -137.8 eV per cell
Total magnetization = 0.0 μB per formula unit
Density = 5111 kg/m3
Space-group type = No. 221

=====

# 10
Material: Sr2CdB
Method: DFT, SCAN
State: PBEsol geometry

```
Sr2CdB
1.0
0.000 3.720 3.720
3.720 0.000 3.720
3.720 3.720 0.000
Sr Cd B
2 1 1
direct
0.250 0.250 0.250 Sr
0.750 0.750 0.750 Sr
0.000 0.000 0.000 Cd
0.500 0.500 0.500 B
```

E_tot = -81.0 eV per cell
Total magnetization = 0.0 μB per formula unit
Density = 4814 kg/m3
Space-group type = No. 225

=====

# 11
Material: TlCd3B
Method: DFT, SCAN
State: PBEsol geometry

```
TlCd3B
1.0
5.377 0.000 0.000
0.000 5.377 0.000
0.000 0.000 5.377
Tl Cd B
1 3 1
direct
0.000 0.000 0.000 Tl
0.000 0.000 0.500 Cd
0.000 0.500 0.000 Cd
0.500 0.000 0.000 Cd
0.500 0.500 0.500 B
```

E_tot = -163.9 eV per cell
Total magnetization = 1.0 μB per formula unit
Density = 5900 kg/m3
Space-group type = No. 221

=====

# 12
Material: TlCdB2
Method: DFT, SCAN
State: PBEsol geometry

```
TlCdB2
1.0
0.000 3.160 3.160
3.160 0.000 3.160
3.160 3.160 0.000
Tl Cd B
1 1 2
direct
0.000 0.000 0.000 Tl
0.500 0.500 0.500 Cd
0.250 0.250 0.250 B
0.750 0.750 0.750 B
```

E_tot = -110.8 eV per cell
Total magnetization = 0.0 μB per formula unit
Density = 8904 kg/m3
Space-group type = No. 225